(1)
GdLuZnCd | PBE | optimized geometry

Unit cell a=7.291 b=7.291 c=7.291 alpha=90.00 beta=90.00 gamma=90.00
Space group F-43m (No. 216)
Inequivalent atoms, fractional coordinates:
Gd (0.000, 0.000, 0.000) x4
Lu (0.000, 0.000, 0.500) x4
Zn (0.250, 0.250, 0.250) x4
Cd (0.250, 0.250, 0.750) x4

**Uncorrected energy**: -22.0 eV/f.u.
**E_form**: -311 meV/atom


(2)
GdMgCd2 | PBE | optimized geometry

Unit cell a=7.247 b=7.247 c=7.247 alpha=90.00 beta=90.00 gamma=90.00
Space group Fm-3m (No. 225)
Inequivalent atoms, fractional coordinates:
Gd (0.000, 0.000, 0.000) x4
Mg (0.000, 0.000, 0.500) x4
Cd (0.250, 0.250, 0.250) x8

**Uncorrected energy**: -18.8 eV/f.u.
**Polymorph energy (0 for the lowest one)**: 0.0 kJ/mol of atoms
**E_form**: -312 meV/atom